First-principles (GGA-PBE) data for crystalline ErAgAsO at its relaxed geometry, as listed in OQMD.

Structure (extended XYZ):
```
8
Lattice="4.264 0.000 0.000 0.000 6.192 0.000 0.000 0.000 5.729" Properties=species:S:1:pos:R:3 pbc="T T T"
Er 0.000 1.534 0.000
Er 0.000 4.658 2.864
Ag 2.132 0.866 2.448
Ag 2.132 5.327 5.312
As 2.132 2.908 4.175
As 2.132 3.284 1.310
O 0.000 0.216 1.686
O 0.000 5.976 4.550
```

Computed properties:
Energy above the most stable polymorph in this dataset, meV/atom: 350
Theoretical density, g cm⁻³: 8.04
Volume, Å³/cell: 151

=====

First-principles (GGA-PBE) data for crystalline Er2Tm2O5 at its relaxed geometry, as listed in OQMD.

Structure (extended XYZ):
```
9
Lattice="3.979 0.000 0.000 0.000 3.979 0.000 0.000 0.000 8.445" Properties=species:S:1:pos:R:3 pbc="T T T"
Er 0.000 0.000 0.000
Er 0.000 0.000 4.223
Tm 1.990 1.990 2.048
Tm 1.990 1.990 6.397
O 0.000 1.990 1.286
O 0.000 1.990 7.159
O 1.990 0.000 1.286
O 1.990 0.000 7.159
O 1.990 1.990 4.223
```

Computed properties:
Energy above the most stable polymorph in this dataset, meV/atom: 31
Theoretical density, g cm⁻³: 9.34
Volume, Å³/cell: 134

=====

First-principles (GGA-PBE) data for crystalline ErMgNO at its relaxed geometry, as listed in OQMD.

Structure (extended XYZ):
```
16
Lattice="6.127 0.000 0.000 0.000 6.872 0.000 0.000 0.000 5.664" Properties=species:S:1:pos:R:3 pbc="T T T"
Er 0.475 0.987 0.000
Er 2.589 0.987 2.832
Er 3.538 5.885 0.000
Er 5.652 5.885 2.832
Mg 0.590 4.163 0.059
Mg 2.473 4.163 2.891
Mg 3.653 2.709 0.059
Mg 5.537 2.709 2.891
N 0.556 4.278 3.655
N 2.507 4.278 0.823
N 3.619 2.594 3.655
N 5.571 2.594 0.823
O 0.490 0.884 3.467
O 2.574 0.884 0.636
O 3.553 5.988 3.467
O 5.637 5.988 0.636
```

Computed properties:
Energy above the most stable polymorph in this dataset, meV/atom: 239
Theoretical density, g cm⁻³: 6.17
Volume, Å³/cell: 238

=====

First-principles (GGA-PBE) data for crystalline LuCoTcB at its relaxed geometry, as listed in OQMD.

Structure (extended XYZ):
```
16
Lattice="5.955 0.000 0.000 0.000 5.955 0.000 0.000 0.000 5.955" Properties=species:S:1:pos:R:3 pbc="T T T"
Lu 0.000 0.000 0.000
Lu 0.000 2.977 2.977
Lu 2.977 0.000 2.977
Lu 2.977 2.977 0.000
Co 1.489 1.489 4.466
Co 1.489 4.466 1.489
Co 4.466 1.489 1.489
Co 4.466 4.466 4.466
Tc 1.489 1.489 1.489
Tc 1.489 4.466 4.466
Tc 4.466 1.489 4.466
Tc 4.466 4.466 1.489
B 0.000 0.000 2.977
B 0.000 2.977 0.000
B 2.977 0.000 0.000
B 2.977 2.977 2.977
```

Computed properties:
Energy above the most stable polymorph in this dataset, meV/atom: 0
Theoretical density, g cm⁻³: 10.78
Volume, Å³/cell: 211

=====

First-principles (GGA-PBE) data for crystalline Lu2ZrGe at its relaxed geometry, as listed in OQMD.

Structure (extended XYZ):
```
16
Lattice="7.099 0.000 0.000 0.000 7.099 0.000 0.000 0.000 7.099" Properties=species:S:1:pos:R:3 pbc="T T T"
Lu 0.000 0.000 0.000
Lu 0.000 3.550 3.550
Lu 1.775 1.775 1.775
Lu 1.775 5.324 5.324
Lu 3.550 0.000 3.550
Lu 3.550 3.550 0.000
Lu 5.324 1.775 5.324
Lu 5.324 5.324 1.775
Zr 1.775 1.775 5.324
Zr 1.775 5.324 1.775
Zr 5.324 1.775 1.775
Zr 5.324 5.324 5.324
Ge 0.000 0.000 3.550
Ge 0.000 3.550 0.000
Ge 3.550 0.000 0.000
Ge 3.550 3.550 3.550
```

Computed properties:
Uncorrected energy, eV/atom: -5.63
Theoretical density, g cm⁻³: 9.54
Volume, Å³/cell: 358

=====

First-principles (GGA-PBE) data for crystalline BaLiCo at its relaxed geometry, as listed in OQMD.

Structure (extended XYZ):
```
12
Lattice="6.771 0.000 0.000 0.000 6.771 0.000 0.000 0.000 6.771" Properties=species:S:1:pos:R:3 pbc="T T T"
Ba 0.000 0.000 0.000
Ba 0.000 3.385 3.385
Ba 3.385 0.000 3.385
Ba 3.385 3.385 0.000
Li 0.000 0.000 3.385
Li 0.000 3.385 0.000
Li 3.385 0.000 0.000
Li 3.385 3.385 3.385
Co 1.693 1.693 1.693
Co 1.693 5.078 5.078
Co 5.078 1.693 5.078
Co 5.078 5.078 1.693
```

Computed properties:
Energy above the most stable polymorph in this dataset, meV/atom: 0
Theoretical density, g cm⁻³: 4.35
Volume, Å³/cell: 310

=====

First-principles (GGA-PBE) data for crystalline LiAg2Sn at its relaxed geometry, as listed in OQMD.

Structure (extended XYZ):
```
16
Lattice="6.666 0.000 0.000 0.000 6.666 0.000 0.000 0.000 6.666" Properties=species:S:1:pos:R:3 pbc="T T T"
Li 0.000 0.000 0.000
Li 0.000 3.333 3.333
Li 3.333 0.000 3.333
Li 3.333 3.333 0.000
Ag 0.000 0.000 3.333
Ag 0.000 3.333 0.000
Ag 1.666 1.666 1.666
Ag 1.666 4.999 4.999
Ag 3.333 0.000 0.000
Ag 3.333 3.333 3.333
Ag 4.999 1.666 4.999
Ag 4.999 4.999 1.666
Sn 1.666 1.666 4.999
Sn 1.666 4.999 1.666
Sn 4.999 1.666 1.666
Sn 4.999 4.999 4.999
```

Computed properties:
Uncorrected energy, eV/atom: -3.08
Theoretical density, g cm⁻³: 7.66
Volume, Å³/cell: 296

=====

First-principles (GGA-PBE) data for crystalline FeSiHgW at its relaxed geometry, as listed in OQMD.

Structure (extended XYZ):
```
16
Lattice="6.289 0.000 0.000 0.000 6.289 0.000 0.000 0.000 6.289" Properties=species:S:1:pos:R:3 pbc="T T T"
Fe 0.000 0.000 0.000
Fe 0.000 3.145 3.145
Fe 3.145 0.000 3.145
Fe 3.145 3.145 0.000
Si 1.572 1.572 4.717
Si 1.572 4.717 1.572
Si 4.717 1.572 1.572
Si 4.717 4.717 4.717
Hg 0.000 0.000 3.145
Hg 0.000 3.145 0.000
Hg 3.145 0.000 0.000
Hg 3.145 3.145 3.145
W 1.572 1.572 1.572
W 1.572 4.717 4.717
W 4.717 1.572 4.717
W 4.717 4.717 1.572
```

Computed properties:
Energy above the most stable polymorph in this dataset, meV/atom: 275
Theoretical density, g cm⁻³: 12.51
Volume, Å³/cell: 249

=====

First-principles (GGA-PBE) data for crystalline OsPd2Pb at its relaxed geometry, as listed in OQMD.

Structure (extended XYZ):
```
16
Lattice="6.475 0.000 0.000 0.000 6.475 0.000 0.000 0.000 6.475" Properties=species:S:1:pos:R:3 pbc="T T T"
Os 0.000 0.000 0.000
Os 0.000 3.237 3.237
Os 3.237 0.000 3.237
Os 3.237 3.237 0.000
Pd 0.000 0.000 3.237
Pd 0.000 3.237 0.000
Pd 1.619 1.619 1.619
Pd 1.619 4.856 4.856
Pd 3.237 0.000 0.000
Pd 3.237 3.237 3.237
Pd 4.856 1.619 4.856
Pd 4.856 4.856 1.619
Pb 1.619 1.619 4.856
Pb 1.619 4.856 1.619
Pb 4.856 1.619 1.619
Pb 4.856 4.856 4.856
```

Computed properties:
Uncorrected energy, eV/atom: -5.91
Theoretical density, g cm⁻³: 14.93
Volume, Å³/cell: 271

=====

First-principles (GGA-PBE) data for crystalline HoTcB4 at its relaxed geometry, as listed in OQMD.

Structure (extended XYZ):
```
6
Lattice="3.144 0.000 0.000 -1.572 2.723 0.000 0.000 0.000 6.959" Properties=species:S:1:pos:R:3 pbc="T T T"
Ho 0.000 0.000 0.000
Tc 0.000 0.000 3.479
B 0.000 1.815 1.915
B 0.000 1.815 5.044
B 1.572 0.908 1.915
B 1.572 0.908 5.044
```

Computed properties:
Uncorrected energy, eV/atom: -7.33
Theoretical density, g cm⁻³: 8.53
Volume, Å³/cell: 60

=====

First-principles (GGA-PBE) data for crystalline Tl2TePd2 at its relaxed geometry, as listed in OQMD.

Structure (extended XYZ):
```
10
Lattice="4.317 0.000 0.000 0.000 4.317 0.000 0.000 0.000 12.441" Properties=species:S:1:pos:R:3 pbc="T T T"
Tl 0.000 2.159 3.110
Tl 0.000 2.159 9.331
Tl 2.159 0.000 3.110
Tl 2.159 0.000 9.331
Te 0.000 0.000 0.000
Te 2.159 2.159 6.220
Pd 0.000 0.000 4.912
Pd 0.000 0.000 7.529
Pd 2.159 2.159 1.309
Pd 2.159 2.159 11.132
```

Computed properties:
Uncorrected energy, eV/atom: -3.55
Theoretical density, g cm⁻³: 10.73
Volume, Å³/cell: 232

=====

First-principles (GGA-PBE) data for crystalline Y2BeW at its relaxed geometry, as listed in OQMD.

Structure (extended XYZ):
```
16
Lattice="6.829 0.000 0.000 0.000 6.829 0.000 0.000 0.000 6.829" Properties=species:S:1:pos:R:3 pbc="T T T"
Y 0.000 0.000 0.000
Y 0.000 3.415 3.415
Y 1.707 1.707 1.707
Y 1.707 5.122 5.122
Y 3.415 0.000 3.415
Y 3.415 3.415 0.000
Y 5.122 1.707 5.122
Y 5.122 5.122 1.707
Be 0.000 0.000 3.415
Be 0.000 3.415 0.000
Be 3.415 0.000 0.000
Be 3.415 3.415 3.415
W 1.707 1.707 5.122
W 1.707 5.122 1.707
W 5.122 1.707 1.707
W 5.122 5.122 5.122
```

Computed properties:
Uncorrected energy, eV/atom: -6.69
Theoretical density, g cm⁻³: 7.73
Volume, Å³/cell: 318